Entry from Alexandria: HfGa2Ge after structural relaxation (PBE).

Values from the calculation:
SG: Fm-3m (225)
Energy relative to the elements: 0.160 eV per atom
N(E_F): 0.862 states/eV per atom
Total energy: -4.996 eV per atom
Energy relative to the lowest polymorph listed for this composition: 45.6 kJ/mol of atoms

abc: 4.7720 4.7720 4.7720
angles: 60.00 60.00 60.00
Closest atoms and distances in Å follow each position.
Sites, in units of the cell vectors:
Hf: 0.0000 0.0000 0.0000  8 Ga 2.92
Ga: 0.2500 0.2500 0.2500  4 Ge 2.92, 4 Hf 2.92
Ga: 0.7500 0.7500 0.7500  4 Ge 2.92, 4 Hf 2.92
Ge: 0.5000 0.5000 0.5000  8 Ga 2.92